Record 1
MgNb2H: optimized geometry, GGA-PBE. Values from VASP.

Cell and atoms, written as Quantum ESPRESSO input:
```
&SYSTEM
  ibrav = 0, nat = 4, ntyp = 3
/
ATOMIC_SPECIES
H 1.01 H.upf
Nb 92.91 Nb.upf
Mg 24.30 Mg.upf
ATOMIC_POSITIONS angstrom
H 0.0000 0.0000 0.0000
Nb 1.5714 1.5714 1.5714
Nb 4.7141 4.7141 4.7141
Mg 3.1427 3.1427 3.1427
CELL_PARAMETERS angstrom
0.0000 3.1427 3.1427
3.1427 0.0000 3.1427
3.1427 3.1427 0.0000
```

crystal system = cubic
N(E_F) = 3.641 states/eV/f.u.
symmetry = Fm-3m
size of the total moment = 0.00 μB/cell
distance to the lowest polymorph of the same formula = 0.6892 eV/atom

Record 2
Mg2NbH6: optimized geometry, GGA-PBE. Values from VASP.

Cell and atoms, written as Quantum ESPRESSO input:
```
&SYSTEM
  ibrav = 0, nat = 9, ntyp = 3
/
ATOMIC_SPECIES
Mg 24.30 Mg.upf
Nb 92.91 Nb.upf
H 1.01 H.upf
ATOMIC_POSITIONS angstrom
Mg -9.0988 -0.2187 -1.0373
Mg -3.0329 -0.0729 -0.3458
Nb 0.0000 0.0000 0.0000
H -6.9676 -1.5113 -0.9139
H -6.9062 0.6056 -1.8982
H -7.1648 0.3999 0.4136
H -5.1642 1.2196 -0.4692
H -5.2255 -0.8973 0.5152
H -4.9669 -0.6915 -1.7967
CELL_PARAMETERS angstrom
-4.1407 2.7696 -0.2167
-3.7195 -1.3110 -3.0512
-4.2716 -1.7502 1.8849
```

crystal system = cubic
N(E_F) = 3.557 states/eV/f.u.
symmetry = Fm-3m
size of the total moment = 1.82 μB/cell

Record 3
Mg3Nb5H12: optimized geometry, GGA-PBE. Values from VASP.

Cell and atoms, written as Quantum ESPRESSO input:
```
&SYSTEM
  ibrav = 0, nat = 80, ntyp = 3
/
ATOMIC_SPECIES
Mg 24.30 Mg.upf
Nb 92.91 Nb.upf
H 1.01 H.upf
ATOMIC_POSITIONS angstrom
Mg -2.1389 -2.5044 -5.6316
Mg -2.8028 -5.9277 -5.6566
Mg -5.6015 -3.0677 1.3323
Mg -2.9233 1.1625 -0.4864
Mg -2.7405 0.5835 -7.1362
Mg -2.9366 -4.1622 -0.6326
Mg -6.1541 1.2066 -1.7982
Mg -6.3501 -3.5391 4.7054
Mg -6.1673 -4.1182 -1.9444
Mg -3.4892 0.1121 -3.7631
Mg -6.2879 2.9721 3.2258
Mg -6.9518 -0.4513 3.2008
Nb -2.3217 -1.9253 1.0182
Nb -0.7129 -4.6098 1.6009
Nb 0.0000 0.0000 0.0000
Nb -1.5730 -1.4539 -2.3549
Nb -3.8324 3.1319 -2.8164
Nb -1.2298 -4.4738 -3.3017
Nb -3.6853 -4.6337 2.7405
Nb -6.7557 4.2945 -3.3027
Nb -4.1531 -3.3113 -3.7880
Nb -5.5392 3.4435 -0.1473
Nb -3.5515 -6.3992 -2.2835
Nb -4.5453 -1.4778 -1.2154
Nb -0.5169 0.1360 -4.9026
Nb -3.3155 2.9960 2.0863
Nb -4.9376 0.3556 1.3572
Nb -2.3349 -7.2501 0.8719
Nb -4.0285 -1.6138 3.6872
Nb -5.4054 1.6780 -5.1713
Nb -7.5177 -1.5017 -0.0759
Nb -6.7690 -1.0303 -3.4490
H -1.3531 -0.8168 -6.3293
H -3.8765 -2.6058 0.1712
H -3.3323 -1.3024 -6.9231
H -1.8782 -0.9807 -4.1663
H -5.9903 -2.5261 -0.5406
H -2.8702 -4.2166 -6.6663
H -4.3106 -4.5311 0.9526
H -2.4031 -7.6512 2.7246
H -6.3234 -4.5545 -0.0112
H -2.6165 -4.1103 -4.5616
H -3.7635 -1.7406 -4.7776
H -2.5650 -7.8130 -5.0723
H -4.8925 -3.2387 3.1817
H -1.4189 -3.2708 -1.8322
H -3.7016 -6.2764 3.6887
H -4.5605 2.2737 -1.2750
H -1.7568 -0.1372 0.7330
H -1.9847 -5.4297 -1.8324
H -4.0532 -6.6578 -4.0944
H -1.3549 -3.3841 0.2864
H -6.8787 -3.8954 2.8224
H -4.3797 -3.2493 -1.9058
H -5.8528 -4.1449 -3.9072
H -7.4535 2.6421 -2.6856
H -4.7110 0.2937 -0.5250
H -3.2379 1.1892 1.4764
H -1.6371 -5.5978 0.2548
H -5.0375 3.7021 1.6636
H -2.2120 0.9398 -5.2532
H -7.7358 0.4284 -2.7173
H -7.1060 2.4741 -0.5984
H -4.5302 -5.2293 -1.1558
H -7.3339 -2.8185 -3.1638
H -5.3891 3.3208 -6.1195
H -4.1982 0.2830 -5.6125
H -6.5256 4.8573 2.6415
H -7.6717 0.3151 -0.5986
H -2.7672 1.5989 -2.4196
H -6.4742 1.1546 2.1308
H -5.3272 -1.2150 2.3468
H -6.6876 4.6956 -5.1554
H -4.7801 1.5754 -3.3834
H -7.2125 -1.9749 1.7355
H -6.2205 1.2609 4.2355
H -3.1003 -0.4295 -1.8903
H -5.7584 -1.6533 4.4923
H -5.2141 -0.3498 -2.6020
H -7.7376 -2.1389 3.8985
CELL_PARAMETERS angstrom
-1.0337 0.2719 -9.8052
-1.4258 -9.2195 3.2019
-6.6311 5.9920 4.1725
```

crystal system = cubic
N(E_F) = 5.155 states/eV/f.u.
symmetry = Ia-3d
size of the total moment = 0.00 μB/cell

Record 4
MgNb2H: optimized geometry, GGA-PBE. Values from VASP.

Cell and atoms, written as Quantum ESPRESSO input:
```
&SYSTEM
  ibrav = 0, nat = 8, ntyp = 3
/
ATOMIC_SPECIES
H 1.01 H.upf
Nb 92.91 Nb.upf
Mg 24.30 Mg.upf
ATOMIC_POSITIONS angstrom
H 2.0837 -3.3815 -1.0842
H 5.6073 -3.8237 -0.7504
Nb 1.3684 -3.0863 0.5227
Nb 3.8458 -3.6001 -0.9176
Nb 5.9321 -5.2164 0.3153
Nb 5.5434 -8.0800 0.6683
Mg 0.0000 0.0000 0.0000
Mg 2.7376 -6.1677 1.0447
CELL_PARAMETERS angstrom
-0.7860 -5.7254 0.7109
4.9534 -1.0375 -2.8793
4.1774 -3.2285 2.4627
```

crystal system = cubic
N(E_F) = 3.309 states/eV/f.u.
symmetry = Fd-3m
size of the total moment = 0.00 μB/cell
distance to the lowest polymorph of the same formula = 0.0388 eV/atom

Record 5
Mg2NbH: optimized geometry, GGA-PBE. Values from VASP.

Cell and atoms, written as Quantum ESPRESSO input:
```
&SYSTEM
  ibrav = 0, nat = 4, ntyp = 3
/
ATOMIC_SPECIES
H 1.01 H.upf
Nb 92.91 Nb.upf
Mg 24.30 Mg.upf
ATOMIC_POSITIONS angstrom
H 0.0000 0.0000 0.0000
Nb 3.3131 3.3131 3.3131
Mg 1.6566 1.6566 1.6566
Mg 4.9697 4.9697 4.9697
CELL_PARAMETERS angstrom
0.0000 3.3131 3.3131
3.3131 0.0000 3.3131
3.3131 3.3131 0.0000
```

crystal system = cubic
N(E_F) = 3.128 states/eV/f.u.
symmetry = Fm-3m
size of the total moment = 1.88 μB/cell
distance to the lowest polymorph of the same formula = 0.6274 eV/atom

Record 6
Mg3NbH: optimized geometry, GGA-PBE. Values from VASP.

Cell and atoms, written as Quantum ESPRESSO input:
```
&SYSTEM
  ibrav = 0, nat = 5, ntyp = 3
/
ATOMIC_SPECIES
H 1.01 H.upf
Nb 92.91 Nb.upf
Mg 24.30 Mg.upf
ATOMIC_POSITIONS angstrom
H 2.8137 2.8137 2.8137
Nb 0.0000 0.0000 0.0000
Mg 0.0000 2.8137 0.0000
Mg 0.0000 0.0000 2.8137
Mg 2.8137 0.0000 0.0000
CELL_PARAMETERS angstrom
5.6273 0.0000 0.0000
0.0000 5.6273 0.0000
0.0000 0.0000 5.6273
```

crystal system = cubic
N(E_F) = 3.134 states/eV/f.u.
symmetry = Pm-3m
size of the total moment = 4.90 μB/cell
distance to the lowest polymorph of the same formula = 1.2366 eV/atom

What final energy values result from the calculations? In sequence: -21.2, -32.4, -97.4, -23.8, -12.1, -10.7 eV/f.u..